Arrangement w

# NaTe2Br8 (PBE, optimized geometry)
# - N(E_F) (states/eV/f.u.) = 3.2
# - size of the total moment (μB/f.u.) = 0.0
data_NaTe2Br8
_cell_length_a 9.3021
_cell_length_b 9.3021
_cell_length_c 5.8176
_cell_angle_alpha 90.00
_cell_angle_beta 90.00
_cell_angle_gamma 120.00
_symmetry_space_group_name_H-M 'P -3'
_symmetry_Int_Tables_number 147
loop_
_symmetry_equiv_pos_as_xyz
'x,y,z'
'-x,-y,-z'
'-y,x-y,z'
'y,-x+y,-z'
'-x+y,-x,z'
'x-y,x,-z'
loop_
_atom_site_label
_atom_site_fract_x
_atom_site_fract_y
_atom_site_fract_z
_atom_site_occupancy
Na1 0.0000 0.0000 0.0000 1
Te1 0.3333 0.6667 0.2414 1
Br1 0.1684 0.3390 0.2611 1
Br2 0.3333 0.6667 0.7491 1



Arrangement x

# NaTe2Br8 (PBE, optimized geometry)
# - N(E_F) (states/eV/f.u.) = 5.4
# - size of the total moment (μB/f.u.) = 1.1
data_NaTe2Br8
_cell_length_a 17.180
_cell_length_b 7.976
_cell_length_c 7.704
_cell_angle_alpha 90.00
_cell_angle_beta 113.13
_cell_angle_gamma 90.00
_symmetry_space_group_name_H-M 'C 1 2/m 1'
_symmetry_Int_Tables_number 12
loop_
_symmetry_equiv_pos_as_xyz
'x,y,z'
'-x,-y,-z'
'-x,y,-z'
'x,-y,z'
'x+1/2,y+1/2,z'
'-x+1/2,-y+1/2,-z'
'-x+1/2,y+1/2,-z'
'x+1/2,-y+1/2,z'
loop_
_atom_site_label
_atom_site_fract_x
_atom_site_fract_y
_atom_site_fract_z
_atom_site_occupancy
Na1 0.000 0.000 0.000 1
Te1 0.120 0.000 0.599 1
Br1 0.052 0.236 0.772 1
Br2 0.183 0.000 0.334 1
Br3 0.237 0.500 0.139 1



Short version: arrangement w is the most stable of them.



Arrangement w

# NaTh2Br8 (PBE, optimized geometry)
# - N(E_F) (states/eV/f.u.) = 6.3
# - size of the total moment (μB/f.u.) = 1.2
data_NaTh2Br8
_cell_length_a 9.153
_cell_length_b 13.068
_cell_length_c 5.898
_cell_angle_alpha 90.00
_cell_angle_beta 102.60
_cell_angle_gamma 90.00
_symmetry_space_group_name_H-M 'C 1 2/m 1'
_symmetry_Int_Tables_number 12
loop_
_symmetry_equiv_pos_as_xyz
'x,y,z'
'-x,-y,-z'
'-x,y,-z'
'x,-y,z'
'x+1/2,y+1/2,z'
'-x+1/2,-y+1/2,-z'
'-x+1/2,y+1/2,-z'
'x+1/2,-y+1/2,z'
loop_
_atom_site_label
_atom_site_fract_x
_atom_site_fract_y
_atom_site_fract_z
_atom_site_occupancy
Na1 0.000 0.000 0.000 1
Th1 0.000 0.320 0.500 1
Br1 0.000 0.241 0.000 1
Br2 0.119 0.500 0.802 1
Br3 0.195 0.133 0.590 1



Arrangement x

# NaTh2Br8 (PBE, optimized geometry)
# - size of the total moment (μB/f.u.) = 1.0
data_NaTh2Br8
_cell_length_a 14.017
_cell_length_b 6.963
_cell_length_c 8.405
_cell_angle_alpha 90.00
_cell_angle_beta 108.95
_cell_angle_gamma 90.00
_symmetry_space_group_name_H-M 'C 1 2/m 1'
_symmetry_Int_Tables_number 12
loop_
_symmetry_equiv_pos_as_xyz
'x,y,z'
'-x,-y,-z'
'-x,y,-z'
'x,-y,z'
'x+1/2,y+1/2,z'
'-x+1/2,-y+1/2,-z'
'-x+1/2,y+1/2,-z'
'x+1/2,-y+1/2,z'
loop_
_atom_site_label
_atom_site_fract_x
_atom_site_fract_y
_atom_site_fract_z
_atom_site_occupancy
Na1 0.000 0.000 0.000 1
Th1 0.133 0.000 0.574 1
Br1 0.002 0.246 0.709 1
Br2 0.221 0.500 0.113 1
Br3 0.229 0.500 0.618 1



Short version: arrangement x is the most stable of them.



Arrangement w

# NaThBr4 (PBE, optimized geometry)
# - N(E_F) (states/eV/f.u.) = 1.2
# - size of the total moment (μB/f.u.) = 0.2
data_NaThBr4
_cell_length_a 7.732
_cell_length_b 3.870
_cell_length_c 7.813
_cell_angle_alpha 90.00
_cell_angle_beta 108.57
_cell_angle_gamma 90.00
_symmetry_space_group_name_H-M 'P 1 2/m 1'
_symmetry_Int_Tables_number 10
loop_
_symmetry_equiv_pos_as_xyz
'x,y,z'
'-x,-y,-z'
'-x,y,-z'
'x,-y,z'
loop_
_atom_site_label
_atom_site_fract_x
_atom_site_fract_y
_atom_site_fract_z
_atom_site_occupancy
Na1 0.000 0.000 0.000 1
Th1 0.000 0.500 0.500 1
Br1 0.220 0.500 0.265 1
Br2 0.248 0.000 0.755 1



Arrangement x

# NaThBr4 (PBE, optimized geometry)
# - N(E_F) (states/eV/f.u.) = 1.5
# - size of the total moment (μB/f.u.) = 1.0
data_NaThBr4
_cell_length_a 7.751
_cell_length_b 7.751
_cell_length_c 8.733
_cell_angle_alpha 90.00
_cell_angle_beta 90.00
_cell_angle_gamma 90.00
_symmetry_space_group_name_H-M 'I -4'
_symmetry_Int_Tables_number 82
loop_
_symmetry_equiv_pos_as_xyz
'x,y,z'
'y,-x,-z'
'-x,-y,z'
'-y,x,-z'
'x+1/2,y+1/2,z+1/2'
'y+1/2,-x+1/2,-z+1/2'
'-x+1/2,-y+1/2,z+1/2'
'-y+1/2,x+1/2,-z+1/2'
loop_
_atom_site_label
_atom_site_fract_x
_atom_site_fract_y
_atom_site_fract_z
_atom_site_occupancy
Na1 0.000 0.000 0.000 1
Th1 0.000 0.500 0.750 1
Br1 0.233 0.745 0.868 1



Short version: arrangement w is the most stable of them.



Arrangement w

# NaThBr6 (PBE, optimized geometry)
# - N(E_F) (states/eV/f.u.) = 13.2
# - size of the total moment (μB/f.u.) = 0.1
data_NaThBr6
_cell_length_a 11.635
_cell_length_b 11.635
_cell_length_c 11.635
_cell_angle_alpha 90.00
_cell_angle_beta 90.00
_cell_angle_gamma 90.00
_symmetry_space_group_name_H-M 'F m -3 m'
_symmetry_Int_Tables_number 225
_symmetry_space_group_name_Hall '-F 4 2 3'
loop_
_atom_site_label
_atom_site_fract_x
_atom_site_fract_y
_atom_site_fract_z
_atom_site_occupancy
Na1 0.000 0.000 0.000 1
Th1 0.000 0.000 0.500 1
Br1 0.000 0.000 0.256 1



Arrangement x

# NaThBr6 (PBE, optimized geometry)
# - N(E_F) (states/eV/f.u.) = 11.8
# - size of the total moment (μB/f.u.) = 1.1
data_NaThBr6
_cell_length_a 7.327
_cell_length_b 13.088
_cell_length_c 7.281
_cell_angle_alpha 90.00
_cell_angle_beta 107.56
_cell_angle_gamma 90.00
_symmetry_space_group_name_H-M 'C 1 2/m 1'
_symmetry_Int_Tables_number 12
loop_
_symmetry_equiv_pos_as_xyz
'x,y,z'
'-x,-y,-z'
'-x,y,-z'
'x,-y,z'
'x+1/2,y+1/2,z'
'-x+1/2,-y+1/2,-z'
'-x+1/2,y+1/2,-z'
'x+1/2,-y+1/2,z'
loop_
_atom_site_label
_atom_site_fract_x
_atom_site_fract_y
_atom_site_fract_z
_atom_site_occupancy
Na1 0.000 0.000 0.000 1
Th1 0.000 0.500 0.500 1
Br1 0.235 0.349 0.740 1
Br2 0.243 0.500 0.261 1



Short version: arrangement x is the most stable of them.



Arrangement w

# NaTiBr2 (PBE, optimized geometry)
# - N(E_F) (states/eV/f.u.) = 2.5
# - size of the total moment (μB/f.u.) = 3.0
data_NaTiBr2
_cell_length_a 7.148
_cell_length_b 7.148
_cell_length_c 7.148
_cell_angle_alpha 90.00
_cell_angle_beta 90.00
_cell_angle_gamma 90.00
_symmetry_space_group_name_H-M 'F m -3 m'
_symmetry_Int_Tables_number 225
_symmetry_space_group_name_Hall '-F 4 2 3'
loop_
_atom_site_label
_atom_site_fract_x
_atom_site_fract_y
_atom_site_fract_z
_atom_site_occupancy
Na1 0.000 0.000 0.000 1
Ti1 0.000 0.000 0.500 1
Br1 0.250 0.250 0.250 1



Arrangement x

# NaTiBr2 (PBE, optimized geometry)
# - N(E_F) (states/eV/f.u.) = 2.7
# - size of the total moment (μB/f.u.) = 1.9
data_NaTiBr2
_cell_length_a 3.6927
_cell_length_b 3.6927
_cell_length_c 30.1775
_cell_angle_alpha 90.00
_cell_angle_beta 90.00
_cell_angle_gamma 120.00
_symmetry_space_group_name_H-M 'R -3 m'
_symmetry_Int_Tables_number 166
_symmetry_space_group_name_Hall '-R 3 2"'
loop_
_atom_site_label
_atom_site_fract_x
_atom_site_fract_y
_atom_site_fract_z
_atom_site_occupancy
Na1 0.0000 0.0000 0.0000 1
Ti1 0.0000 0.0000 0.5000 1
Br1 0.0000 0.0000 0.1124 1



Short version: arrangement x is the most stable of them.



Arrangement w

# Na2TiBr (PBE, optimized geometry)
# - N(E_F) (states/eV/f.u.) = 4.2
# - size of the total moment (μB/f.u.) = 2.8
data_Na2TiBr
_cell_length_a 9.711
_cell_length_b 9.711
_cell_length_c 5.211
_cell_angle_alpha 90.00
_cell_angle_beta 90.00
_cell_angle_gamma 90.00
_symmetry_space_group_name_H-M 'I -4 2 d'
_symmetry_Int_Tables_number 122
_symmetry_space_group_name_Hall 'I -4 2bw'
loop_
_atom_site_label
_atom_site_fract_x
_atom_site_fract_y
_atom_site_fract_z
_atom_site_occupancy
Na1 0.162 0.250 0.125 1
Ti1 0.000 0.000 0.500 1
Br1 0.000 0.000 0.000 1



Arrangement x

# Na2TiBr (PBE, optimized geometry)
# - N(E_F) (states/eV/f.u.) = 1.3
# - size of the total moment (μB/f.u.) = 3.1
data_Na2TiBr
_cell_length_a 7.832
_cell_length_b 7.832
_cell_length_c 7.832
_cell_angle_alpha 90.00
_cell_angle_beta 90.00
_cell_angle_gamma 90.00
_symmetry_space_group_name_H-M 'F m -3 m'
_symmetry_Int_Tables_number 225
_symmetry_space_group_name_Hall '-F 4 2 3'
loop_
_atom_site_label
_atom_site_fract_x
_atom_site_fract_y
_atom_site_fract_z
_atom_site_occupancy
Na1 0.250 0.250 0.250 1
Ti1 0.000 0.000 0.000 1
Br1 0.000 0.000 0.500 1



Short version: arrangement w is the most stable of them.



Arrangement w

# Na2TiBr4 (PBE, optimized geometry)
# - N(E_F) (states/eV/f.u.) = 2.3
# - size of the total moment (μB/f.u.) = 2.0
data_Na2TiBr4
_cell_length_a 4.918
_cell_length_b 4.918
_cell_length_c 23.215
_cell_angle_alpha 90.00
_cell_angle_beta 90.00
_cell_angle_gamma 90.00
_symmetry_space_group_name_H-M 'I 4/m m m'
_symmetry_Int_Tables_number 139
_symmetry_space_group_name_Hall '-I 4 2'
loop_
_atom_site_label
_atom_site_fract_x
_atom_site_fract_y
_atom_site_fract_z
_atom_site_occupancy
Na1 0.000 0.000 0.195 1
Ti1 0.000 0.000 0.000 1
Br1 0.000 0.000 0.315 1
Br2 0.000 0.500 0.000 1



Arrangement x

# Na2TiBr4 (PBE, optimized geometry)
# - size of the total moment (μB/f.u.) = 2.0
data_Na2TiBr4
_cell_length_a 7.266
_cell_length_b 7.266
_cell_length_c 9.396
_cell_angle_alpha 90.00
_cell_angle_beta 90.00
_cell_angle_gamma 90.00
_symmetry_space_group_name_H-M 'I -4 2 m'
_symmetry_Int_Tables_number 121
_symmetry_space_group_name_Hall 'I -4 2'
loop_
_atom_site_label
_atom_site_fract_x
_atom_site_fract_y
_atom_site_fract_z
_atom_site_occupancy
Na1 0.000 0.500 0.250 1
Ti1 0.000 0.000 0.000 1
Br1 0.230 0.230 0.892 1



Short version: arrangement x is the most stable of them.



Arrangement w

# NaTiBr4 (PBE, optimized geometry)
# - N(E_F) (states/eV/f.u.) = 2.4
# - size of the total moment (μB/f.u.) = 1.0
data_NaTiBr4
_cell_length_a 8.097
_cell_length_b 16.157
_cell_length_c 6.538
_cell_angle_alpha 90.00
_cell_angle_beta 110.41
_cell_angle_gamma 90.00
_symmetry_space_group_name_H-M 'C 1 2/c 1'
_symmetry_Int_Tables_number 15
loop_
_symmetry_equiv_pos_as_xyz
'x,y,z'
'-x,-y,-z'
'-x,y,-z+1/2'
'x,-y,z+1/2'
'x+1/2,y+1/2,z'
'-x+1/2,-y+1/2,-z'
'-x+1/2,y+1/2,-z+1/2'
'x+1/2,-y+1/2,z+1/2'
loop_
_atom_site_label
_atom_site_fract_x
_atom_site_fract_y
_atom_site_fract_z
_atom_site_occupancy
Na1 0.000 0.215 0.250 1
Ti1 0.000 0.055 0.750 1
Br1 0.197 0.058 0.168 1
Br2 0.204 0.167 0.694 1



Arrangement x

# NaTiBr4 (PBE, optimized geometry)
# - N(E_F) (states/eV/f.u.) = 2.6
# - size of the total moment (μB/f.u.) = 1.0
data_NaTiBr4
_cell_length_a 6.845
_cell_length_b 3.950
_cell_length_c 7.252
_cell_angle_alpha 90.00
_cell_angle_beta 93.46
_cell_angle_gamma 90.00
_symmetry_space_group_name_H-M 'P 1 2/m 1'
_symmetry_Int_Tables_number 10
loop_
_symmetry_equiv_pos_as_xyz
'x,y,z'
'-x,-y,-z'
'-x,y,-z'
'x,-y,z'
loop_
_atom_site_label
_atom_site_fract_x
_atom_site_fract_y
_atom_site_fract_z
_atom_site_occupancy
Na1 0.000 0.000 0.000 1
Ti1 0.000 0.500 0.500 1
Br1 0.215 0.000 0.372 1
Br2 0.220 0.500 0.795 1



Short version: arrangement x is the most stable of them.



Arrangement w

# NaTl2Br4 (PBE, optimized geometry)
# - N(E_F) (states/eV/f.u.) = 2.0
# - size of the total moment (μB/f.u.) = 0.0
data_NaTl2Br4
_cell_length_a 7.754
_cell_length_b 7.754
_cell_length_c 4.645
_cell_angle_alpha 90.00
_cell_angle_beta 90.00
_cell_angle_gamma 90.00
_symmetry_space_group_name_H-M 'P -4 2 m'
_symmetry_Int_Tables_number 111
loop_
_symmetry_equiv_pos_as_xyz
'x,y,z'
'y,-x,-z'
'-x,-y,z'
'-y,x,-z'
'x,-y,-z'
'y,x,z'
'-x,y,-z'
'-y,-x,z'
loop_
_atom_site_label
_atom_site_fract_x
_atom_site_fract_y
_atom_site_fract_z
_atom_site_occupancy
Na1 0.000 0.000 0.000 1
Tl1 0.000 0.500 0.500 1
Br1 0.242 0.242 0.235 1



Arrangement x

# NaTl2Br4 (PBE, optimized geometry)
# - N(E_F) (states/eV/f.u.) = 8.6
# - size of the total moment (μB/f.u.) = 0.8
data_NaTl2Br4
_cell_length_a 5.240
_cell_length_b 5.240
_cell_length_c 22.242
_cell_angle_alpha 90.00
_cell_angle_beta 90.00
_cell_angle_gamma 90.00
_symmetry_space_group_name_H-M 'I 4/m m m'
_symmetry_Int_Tables_number 139
_symmetry_space_group_name_Hall '-I 4 2'
loop_
_atom_site_label
_atom_site_fract_x
_atom_site_fract_y
_atom_site_fract_z
_atom_site_occupancy
Na1 0.000 0.000 0.000 1
Tl1 0.000 0.000 0.179 1
Br1 0.000 0.000 0.312 1
Br2 0.000 0.500 0.000 1



Short version: arrangement w is the most stable of them.



Arrangement w

# NaTlBr2 (PBE, optimized geometry)
# - N(E_F) (states/eV/f.u.) = 0.0
# - size of the total moment (μB/f.u.) = 0.0
data_NaTlBr2
_cell_length_a 7.838
_cell_length_b 7.838
_cell_length_c 7.838
_cell_angle_alpha 90.00
_cell_angle_beta 90.00
_cell_angle_gamma 90.00
_symmetry_space_group_name_H-M 'F m -3 m'
_symmetry_Int_Tables_number 225
_symmetry_space_group_name_Hall '-F 4 2 3'
loop_
_atom_site_label
_atom_site_fract_x
_atom_site_fract_y
_atom_site_fract_z
_atom_site_occupancy
Na1 0.000 0.000 0.000 1
Tl1 0.000 0.000 0.500 1
Br1 0.250 0.250 0.250 1



Arrangement x

# NaTlBr2 (PBE, optimized geometry)
# - N(E_F) (states/eV/f.u.) = 0.0
# - size of the total moment (μB/f.u.) = 0.0
data_NaTlBr2
_cell_length_a 3.866
_cell_length_b 3.866
_cell_length_c 7.885
_cell_angle_alpha 90.00
_cell_angle_beta 90.00
_cell_angle_gamma 90.00
_symmetry_space_group_name_H-M 'P 4/m m m'
_symmetry_Int_Tables_number 123
_symmetry_space_group_name_Hall '-P 4 2'
loop_
_atom_site_label
_atom_site_fract_x
_atom_site_fract_y
_atom_site_fract_z
_atom_site_occupancy
Na1 0.000 0.000 0.000 1
Tl1 0.000 0.000 0.500 1
Br1 0.500 0.500 0.230 1



Short version: arrangement x is the most stable of them.



Arrangement w

# NaTlBr2 (PBE, optimized geometry)
# - N(E_F) (states/eV/f.u.) = 0.0
# - size of the total moment (μB/f.u.) = 0.0
data_NaTlBr2
_cell_length_a 4.3958
_cell_length_b 4.3958
_cell_length_c 23.3121
_cell_angle_alpha 90.00
_cell_angle_beta 90.00
_cell_angle_gamma 120.00
_symmetry_space_group_name_H-M 'R 3 m'
_symmetry_Int_Tables_number 160
_symmetry_space_group_name_Hall 'R 3 -2"'
loop_
_atom_site_label
_atom_site_fract_x
_atom_site_fract_y
_atom_site_fract_z
_atom_site_occupancy
Na1 0.0000 0.0000 0.0000 1
Tl1 0.0000 0.0000 0.8319 1
Br1 0.0000 0.0000 0.4049 1
Br2 0.0000 0.0000 0.5938 1



Arrangement x

# NaTlBr2 (PBE, optimized geometry)
# - N(E_F) (states/eV/f.u.) = 0.0
# - size of the total moment (μB/f.u.) = 0.0
data_NaTlBr2
_cell_length_a 4.5364
_cell_length_b 4.5364
_cell_length_c 27.4182
_cell_angle_alpha 90.00
_cell_angle_beta 90.00
_cell_angle_gamma 120.00
_symmetry_space_group_name_H-M 'R -3 m'
_symmetry_Int_Tables_number 166
_symmetry_space_group_name_Hall '-R 3 2"'
loop_
_atom_site_label
_atom_site_fract_x
_atom_site_fract_y
_atom_site_fract_z
_atom_site_occupancy
Na1 0.0000 0.0000 0.0000 1
Tl1 0.0000 0.0000 0.5000 1
Br1 0.0000 0.0000 0.3909 1



Arrangement y

# NaTlBr2 (PBE, optimized geometry)
# - N(E_F) (states/eV/f.u.) = 0.0
# - size of the total moment (μB/f.u.) = 0.0
data_NaTlBr2
_cell_length_a 7.116
_cell_length_b 7.116
_cell_length_c 13.698
_cell_angle_alpha 90.00
_cell_angle_beta 90.00
_cell_angle_gamma 90.00
_symmetry_space_group_name_H-M 'I -4 2 d'
_symmetry_Int_Tables_number 122
_symmetry_space_group_name_Hall 'I -4 2bw'
loop_
_atom_site_label
_atom_site_fract_x
_atom_site_fract_y
_atom_site_fract_z
_atom_site_occupancy
Na1 0.000 0.000 0.000 1
Tl1 0.000 0.000 0.500 1
Br1 0.206 0.250 0.125 1



Arrangement z

# NaTlBr2 (PBE, optimized geometry)
# - N(E_F) (states/eV/f.u.) = 0.0
# - size of the total moment (μB/f.u.) = 0.0
data_NaTlBr2
_cell_length_a 4.4663
_cell_length_b 4.4663
_cell_length_c 22.6813
_cell_angle_alpha 90.00
_cell_angle_beta 90.00
_cell_angle_gamma 120.00
_symmetry_space_group_name_H-M 'R -3 m'
_symmetry_Int_Tables_number 166
_symmetry_space_group_name_Hall '-R 3 2"'
loop_
_atom_site_label
_atom_site_fract_x
_atom_site_fract_y
_atom_site_fract_z
_atom_site_occupancy
Na1 0.0000 0.0000 0.0000 1
Tl1 0.0000 0.0000 0.5000 1
Br1 0.0000 0.0000 0.2610 1



Short version: arrangement z is the most stable of them.